No. 1
First-principles (PBE-GGA) data for MnBiRu2N after structural relaxation, as listed in Alexandria.

The magnetic moment is 8.0 μB/f.u. Its uncorrected formation energy is 2.1966 eV/atom. The total energy comes out at -28.9 eV/f.u.

The space group is P4/mmm (No. 123) and the conventional cell measures 5.067, 5.067 and 4.292 Å, with angles of 90.00, 90.00 and 90.00 degrees. The asymmetric unit holds Mn at (0.000, 0.000, 0.000), Bi at (0.500, 0.500, 0.500), Ru at (0.000, 0.500, 0.500) and N at (0.500, 0.500, 0.000).

---

No. 2
First-principles (PBE-GGA) data for MnBiS2N after structural relaxation, as listed in Alexandria.

The magnetic moment is 2.2 μB/f.u. For the energy above the most stable polymorph in this dataset, the calculation gives 0.000 eV per atom. Its uncorrected formation energy is 0.0410 eV/atom. The total energy comes out at -29.4 eV/f.u.

The space group is P4/mmm (No. 123) and the conventional cell measures 4.884, 4.884 and 3.572 Å, with angles of 90.00, 90.00 and 90.00 degrees. The asymmetric unit holds Mn at (0.000, 0.000, 0.000), Bi at (0.500, 0.500, 0.500), S at (0.000, 0.500, 0.000) and N at (0.000, 0.000, 0.500).

---

No. 3
First-principles (PBE-GGA) data for MnBiSN2 after structural relaxation, as listed in Alexandria.

The magnetic moment is 1.4 μB/f.u. For the energy above the most stable polymorph in this dataset, the calculation gives 0.000 eV per atom. Its uncorrected formation energy is 0.5980 eV/atom. The total energy comes out at -30.8 eV/f.u.

The space group is P4/mmm (No. 123) and the conventional cell measures 3.858, 3.858 and 4.772 Å, with angles of 90.00, 90.00 and 90.00 degrees. The asymmetric unit holds Mn at (0.000, 0.000, 0.000), Bi at (0.500, 0.500, 0.500), S at (0.000, 0.000, 0.500) and N at (0.000, 0.500, 0.000).